# 1
Computed, not measured: an optimized crystal structure of NiAgPb at the GGA-PBE level of DFT.

Unit cell a=4.406 b=4.406 c=4.406 alpha=60.00 beta=60.00 gamma=60.00
Fractional coordinates of all 3 atoms:
Ag: 0.500 0.500 0.500
Pb: 0.000 0.000 0.000
Ni: 0.750 0.750 0.750

Properties
Space group   F-43m
Energy relative to the lowest polymorph listed for this composition   20 meV/atom


# 2
Computed, not measured: an optimized crystal structure of MnPHPd2 at the GGA-PBE level of DFT.

Unit cell a=3.893 b=3.893 c=4.065 alpha=90.00 beta=90.00 gamma=90.00
Each line ends with the local moment (μB).
Fractional coordinates of all 5 atoms:
P: 0.500 0.500 0.500  -0.07
Pd: 0.500 0.000 0.000  0.07
Pd: 0.000 0.500 0.000  0.07
H: 0.000 0.000 0.000  -0.02
Mn: 0.000 0.000 0.500  3.72

Properties
Space group   P4/mmm
Energy relative to the lowest polymorph listed for this composition   0 meV/atom


# 3
Computed, not measured: an optimized crystal structure of UCu2PtO8 at the GGA-PBE level of DFT.

Unit cell a=5.807 b=5.807 c=5.807 alpha=111.96 beta=111.96 gamma=104.61
Fractional coordinates of all 12 atoms:
O: 0.912 0.714 0.198
O: 0.516 0.714 0.802
O: 0.936 0.238 0.302
Pt: 0.250 0.750 0.500
O: 0.365 0.064 0.302
O: 0.936 0.635 0.698
Cu: 0.750 0.250 0.500
Cu: 0.500 0.500 0.000
U: 0.000 0.000 0.000
O: 0.762 0.064 0.698
O: 0.286 0.088 0.802
O: 0.286 0.484 0.198

Properties
Space group   I-4m2
Uncorrected formation energy   -0.98 eV/atom


Calculated values (g cm⁻³) of theoretical density for the records, taken in order: 10.26; 8.08; 7.62.
Calculated values (μB/atom) of total moment for the records, taken in order: 0.000; 0.773; 0.005.